Entry 1:
# BeSi2Au PBE-GGA optimized geometry
# Formation energy from raw total energies ... 338 meV/atom
# Spin magnetization ... 0.000 μB per atom
# Crystal system ... trigonal
# Space-group type ... R-3m, No. 166
data_BeSi2Au
_chemical_formula_sum 'Be1 Si2 Au1'
_cell_length_a 7.3478
_cell_length_b 7.3478
_cell_length_c 7.3478
_cell_angle_alpha 24.20
_cell_angle_beta 24.20
_cell_angle_gamma 24.20
_symmetry_space_group_name_H-M 'P 1'
_symmetry_Int_Tables_number 1
_symmetry_space_group_name_Hall 'P 1'
loop_
_atom_site_label
_atom_site_type_symbol
_atom_site_fract_x
_atom_site_fract_y
_atom_site_fract_z
Be1 Be 0.7500 0.7500 0.7500
Si1 Si 0.0125 0.0125 0.0125
Si2 Si 0.4875 0.4875 0.4875
Au1 Au 0.2500 0.2500 0.2500

Entry 2:
# Be4SiAu PBE-GGA optimized geometry
# Formation energy from raw total energies ... 179 meV/atom
# Spin magnetization ... 0.000 μB per atom
# Crystal system ... cubic
# Space-group type ... F-43m, No. 216
data_Be4SiAu
_chemical_formula_sum 'Be4 Si1 Au1'
_cell_length_a 4.5120
_cell_length_b 4.5120
_cell_length_c 4.5120
_cell_angle_alpha 60.00
_cell_angle_beta 60.00
_cell_angle_gamma 60.00
_symmetry_space_group_name_H-M 'P 1'
_symmetry_Int_Tables_number 1
_symmetry_space_group_name_Hall 'P 1'
loop_
_atom_site_label
_atom_site_type_symbol
_atom_site_fract_x
_atom_site_fract_y
_atom_site_fract_z
Be1 Be 0.8710 0.3763 0.3763
Be2 Be 0.3763 0.3763 0.8710
Be3 Be 0.3763 0.8710 0.3763
Be4 Be 0.3763 0.3763 0.3763
Si1 Si 0.7500 0.7500 0.7500
Au1 Au 0.0000 0.0000 0.0000

Entry 3:
# BeSi2Au PBE-GGA optimized geometry
# Formation energy from raw total energies ... 392 meV/atom
# Spin magnetization ... 0.000 μB per atom
# Crystal system ... tetragonal
# Space-group type ... P4/mmm, No. 123
data_BeSi2Au
_chemical_formula_sum 'Be1 Si2 Au1'
_cell_length_a 2.6922
_cell_length_b 2.6922
_cell_length_c 8.0701
_cell_angle_alpha 90.00
_cell_angle_beta 90.00
_cell_angle_gamma 90.00
_symmetry_space_group_name_H-M 'P 1'
_symmetry_Int_Tables_number 1
_symmetry_space_group_name_Hall 'P 1'
loop_
_atom_site_label
_atom_site_type_symbol
_atom_site_fract_x
_atom_site_fract_y
_atom_site_fract_z
Be1 Be 0.5000 0.5000 0.7500
Si1 Si 0.0000 0.0000 0.9462
Si2 Si 0.0000 0.0000 0.5538
Au1 Au 0.5000 0.5000 0.2500

What did the first record say?
# BeSi2Au PBE-GGA optimized geometry
# Formation energy from raw total energies ... 338 meV/atom
# Spin magnetization ... 0.000 μB per atom
# Crystal system ... trigonal
# Space-group type ... R-3m, No. 166
data_BeSi2Au
_chemical_formula_sum 'Be1 Si2 Au1'
_cell_length_a 7.3478
_cell_length_b 7.3478
_cell_length_c 7.3478
_cell_angle_alpha 24.20
_cell_angle_beta 24.20
_cell_angle_gamma 24.20
_symmetry_space_group_name_H-M 'P 1'
_symmetry_Int_Tables_number 1
_symmetry_space_group_name_Hall 'P 1'
loop_
_atom_site_label
_atom_site_type_symbol
_atom_site_fract_x
_atom_site_fract_y
_atom_site_fract_z
Be1 Be 0.7500 0.7500 0.7500
Si1 Si 0.0125 0.0125 0.0125
Si2 Si 0.4875 0.4875 0.4875
Au1 Au 0.2500 0.2500 0.2500

Which formula does entry 2 have?
Be4SiAu